No. 1
Density functional theory data (PBE) for a geometry-optimized Ni7Sn structure.

Unit cell a=5.147 b=5.147 c=4.179 alpha=90.00 beta=90.00 gamma=120.00
Fractional coordinates of all 8 atoms:
Ni 0.000 0.000 0.000
Ni 0.017 0.508 0.000
Ni 0.165 0.330 0.500
Ni 0.165 0.835 0.500
Ni 0.492 0.508 0.000
Ni 0.492 0.983 0.000
Ni 0.670 0.835 0.500
Sn 0.667 0.333 0.500

The total magnetic moment comes out at 0.285 μB per atom. The value obtained for the formation energy is -28 meV per atom.

No. 2
Density functional theory data (PBE) for a geometry-optimized Ni4Sn structure.

Unit cell a=4.606 b=4.606 c=4.606 alpha=90.00 beta=90.00 gamma=90.00
Fractional coordinates of all 5 atoms:
Ni 0.000 0.000 0.000
Ni 0.000 0.500 0.500
Ni 0.500 0.000 0.500
Ni 0.500 0.500 0.000
Sn 0.500 0.500 0.500

The total magnetic moment comes out at 0.224 μB per atom. The value obtained for the formation energy is 1371 meV per atom.

No. 3
Density functional theory data (PBE) for a geometry-optimized NiSn3 structure.

Unit cell a=3.273 b=3.335 c=8.503 alpha=90.00 beta=90.00 gamma=90.00
Fractional coordinates of all 4 atoms:
Ni 0.000 0.000 0.000
Sn 0.000 0.500 0.239
Sn 0.500 0.000 0.530
Sn 0.500 0.500 0.855

The total magnetic moment comes out at 0.000 μB per atom. The value obtained for the formation energy is 30 meV per atom.

No. 4
Density functional theory data (PBE) for a geometry-optimized Ni2Sn structure.

Unit cell a=4.603 b=4.603 c=4.603 alpha=138.51 beta=138.51 gamma=60.12
Fractional coordinates of all 3 atoms:
Ni 0.168 0.168 0.000
Ni 0.832 0.832 0.000
Sn 0.500 0.500 0.000

The total magnetic moment comes out at 0.000 μB per atom. The value obtained for the formation energy is -85 meV per atom.

No. 5
Density functional theory data (PBE) for a geometry-optimized Ni3Sn4 structure.

Unit cell a=6.481 b=6.481 c=5.304 alpha=104.43 beta=104.43 gamma=36.66
Fractional coordinates of all 7 atoms:
Ni 0.000 0.000 0.000
Ni 0.217 0.217 0.336
Ni 0.783 0.783 0.664
Sn 0.171 0.171 0.813
Sn 0.428 0.428 0.686
Sn 0.572 0.572 0.314
Sn 0.829 0.829 0.187

The total magnetic moment comes out at 0.000 μB per atom. The value obtained for the formation energy is -220 meV per atom.

No. 6
Density functional theory data (PBE) for a geometry-optimized Ni17Sn2 structure.

Unit cell a=6.207 b=6.207 c=6.207 alpha=81.88 beta=81.88 gamma=81.88
Fractional coordinates of all 19 atoms:
Ni 0.000 0.000 0.500
Ni 0.000 0.304 0.696
Ni 0.000 0.500 0.000
Ni 0.000 0.696 0.304
Ni 0.100 0.100 0.100
Ni 0.157 0.653 0.653
Ni 0.304 0.000 0.696
Ni 0.304 0.696 0.000
Ni 0.347 0.347 0.843
Ni 0.347 0.843 0.347
Ni 0.500 0.000 0.000
Ni 0.653 0.158 0.653
Ni 0.653 0.653 0.157
Ni 0.696 0.000 0.304
Ni 0.696 0.304 0.000
Ni 0.843 0.347 0.347
Ni 0.900 0.900 0.900
Sn 0.336 0.336 0.336
Sn 0.664 0.664 0.664

The total magnetic moment comes out at 0.363 μB per atom. The value obtained for the formation energy is 62 meV per atom.

No. 7
Density functional theory data (PBE) for a geometry-optimized Ni8Sn3 structure.

Unit cell a=5.625 b=5.625 c=5.625 alpha=98.23 beta=98.23 gamma=98.23
Fractional coordinates of all 11 atoms:
Ni 0.144 0.144 0.144
Ni 0.191 0.451 0.511
Ni 0.451 0.511 0.191
Ni 0.489 0.809 0.549
Ni 0.511 0.191 0.451
Ni 0.549 0.489 0.809
Ni 0.809 0.549 0.489
Ni 0.856 0.856 0.856
Sn 0.000 0.000 0.500
Sn 0.000 0.500 0.000
Sn 0.500 0.000 0.000

The total magnetic moment comes out at 0.000 μB per atom. The value obtained for the formation energy is 200 meV per atom.

No. 8
Density functional theory data (PBE) for a geometry-optimized Ni4Sn structure.

Unit cell a=6.973 b=6.973 c=6.973 alpha=146.93 beta=136.42 gamma=55.77
Fractional coordinates of all 10 atoms:
Ni 0.000 0.000 0.000
Ni 0.216 0.198 0.019
Ni 0.321 0.802 0.519
Ni 0.358 0.608 0.750
Ni 0.500 0.000 0.500
Ni 0.642 0.392 0.250
Ni 0.679 0.198 0.481
Ni 0.784 0.802 0.981
Sn 0.141 0.391 0.750
Sn 0.859 0.609 0.250

The total magnetic moment comes out at 0.000 μB per atom. The value obtained for the formation energy is -87 meV per atom.

No. 9
Density functional theory data (PBE) for a geometry-optimized NiSn4 structure.

Unit cell a=5.035 b=5.035 c=5.035 alpha=90.00 beta=90.00 gamma=90.00
Fractional coordinates of all 5 atoms:
Ni 0.000 0.000 0.000
Sn 0.000 0.000 0.500
Sn 0.000 0.500 0.000
Sn 0.500 0.000 0.000
Sn 0.500 0.500 0.500

The total magnetic moment comes out at 0.000 μB per atom. The value obtained for the formation energy is 92 meV per atom.

No. 10
Density functional theory data (PBE) for a geometry-optimized NiSn2 structure.

Unit cell a=3.449 b=3.449 c=12.122 alpha=90.00 beta=90.00 gamma=120.00
Fractional coordinates of all 6 atoms:
Ni 0.000 0.000 0.250
Ni 0.000 0.000 0.750
Sn 0.333 0.667 0.107
Sn 0.333 0.667 0.393
Sn 0.667 0.333 0.607
Sn 0.667 0.333 0.893

The total magnetic moment comes out at 0.000 μB per atom. The value obtained for the formation energy is -18 meV per atom.

No. 11
Density functional theory data (PBE) for a geometry-optimized NiSn3 structure.

Unit cell a=6.958 b=6.958 c=6.958 alpha=148.28 beta=148.28 gamma=45.48
Fractional coordinates of all 4 atoms:
Ni 0.000 0.000 0.000
Sn 0.195 0.195 0.000
Sn 0.500 0.500 0.000
Sn 0.805 0.805 0.000

The total magnetic moment comes out at 0.000 μB per atom. The value obtained for the formation energy is -22 meV per atom.

No. 12
Density functional theory data (PBE) for a geometry-optimized NiSn3 structure.

Unit cell a=8.485 b=8.485 c=8.485 alpha=95.76 beta=95.76 gamma=143.05
Fractional coordinates of all 16 atoms:
Ni 0.039 0.702 0.768
Ni 0.298 0.066 0.336
Ni 0.730 0.961 0.664
Ni 0.934 0.270 0.232
Sn 0.043 0.431 0.937
Sn 0.154 0.484 0.590
Sn 0.156 0.118 0.809
Sn 0.308 0.347 0.191
Sn 0.437 0.846 0.331
Sn 0.494 0.106 0.063
Sn 0.516 0.106 0.669
Sn 0.569 0.506 0.612
Sn 0.653 0.844 0.962
Sn 0.882 0.692 0.038
Sn 0.894 0.563 0.410
Sn 0.894 0.957 0.388

The total magnetic moment comes out at 0.000 μB per atom. The value obtained for the formation energy is -35 meV per atom.

| no. | DFT total energy (eV for the cell shown) | theoretical density (g/cm³) |
| --- | --- | --- |
| 1 | -44.69 | 9.17 |
| 2 | -20.27 | 6.01 |
| 3 | -17.67 | 7.42 |
| 4 | -15.82 | 9.26 |
| 5 | -34.90 | 8.42 |
| 6 | -105.12 | 8.82 |
| 7 | -56.05 | 7.98 |
| 8 | -55.13 | 9.27 |
| 9 | -21.33 | 6.94 |
| 10 | -27.68 | 7.88 |
| 11 | -17.88 | 7.42 |
| 12 | -71.72 | 7.91 |